No. 1
An optimized crystal structure of PmErInAg. Source: Alexandria via LeMat-Bulk, functional GGA-PBE.

Calculated values
Energy above the most stable polymorph in this dataset = 16 meV/atom
Symmetry = No. 216
Formation energy = -0.382 eV per atom

```
PmErInAg
1.0
-2.0789 -2.5379 4.1625
3.0542 -3.1366 2.9870
1.2991 1.4747 4.9221
Pm In Ag Er
1 1 1 1
Direct
0.0000 0.0000 0.0000
0.7500 0.7500 0.7500
0.2500 0.2500 0.2500
0.5000 0.5000 0.5000
```

---

No. 2
An optimized crystal structure of TcBSb2I. Source: Alexandria via LeMat-Bulk, functional GGA-PBE.

Calculated values
Energy above the most stable polymorph in this dataset = 0 meV/atom
Formation energy from raw total energies = 1.33 eV/atom
Symmetry = No. 123

```
TcBSb2I
1.0
4.8120 0.0000 0.0000
0.0000 4.8120 0.0000
0.0000 0.0000 4.8107
I Sb B Tc
1 2 1 1
Direct
0.0000 0.0000 0.5000
0.0000 0.5000 0.0000
0.5000 0.0000 0.0000
0.0000 0.0000 0.0000
0.5000 0.5000 0.5000
```

---

No. 3
An optimized crystal structure of Y2SnHgSb. Source: Alexandria via LeMat-Bulk, functional GGA-PBE.

Calculated values
Formation energy from raw total energies = 0.24 eV/atom
Symmetry = No. 123

```
Y2SnHgSb
1.0
5.7332 0.0000 0.0000
0.0000 5.6228 0.0000
0.0000 0.0000 5.7332
Y Sb Hg Sn
2 1 1 1
Direct
0.0000 0.0000 0.5000
0.5000 0.0000 0.0000
0.0000 0.5000 0.0000
0.5000 0.5000 0.5000
0.0000 0.0000 0.0000
```

---

No. 4
An optimized crystal structure of Tb2Fe17C2. Source: Alexandria via LeMat-Bulk, functional GGA-PBE.

Calculated values
Symmetry = No. 12
Formation energy = -0.059 eV per atom

```
Tb2Fe17C2
1.0
4.2995 4.8202 0.0023
-4.2995 4.8202 0.0023
0.0000 0.9605 6.4161
Tb Fe C
2 17 2
Direct
0.3469 0.3469 0.3358
0.6531 0.6531 0.6642
0.0967 0.0967 0.0957
0.9033 0.9033 0.9043
0.6546 0.6546 0.1447
0.6560 0.1473 0.6586
0.1473 0.6560 0.6586
0.3454 0.3454 0.8553
0.3440 0.8527 0.3414
0.8527 0.3440 0.3414
0.7154 0.2846 0.0000
0.2852 0.0017 0.7149
0.9983 0.7148 0.2851
0.7148 0.9983 0.2851
0.0017 0.2852 0.7149
0.2846 0.7154 0.0000
0.0000 0.0000 0.5000
0.0000 0.5000 0.0000
0.5000 0.0000 0.0000
0.5000 0.0000 0.5000
0.0000 0.5000 0.5000
```

---

No. 5
An optimized crystal structure of Mg4TlInH. Source: Alexandria via LeMat-Bulk, functional GGA-PBE.

Calculated values
Symmetry = No. 63
Energy = -2.119 eV/atom

```
Mg4TlInH
1.0
6.1942 0.0000 0.0000
0.0000 6.2716 0.0000
-3.0971 0.0000 7.5256
Mg Tl In H
8 2 2 2
Direct
0.9102 0.2500 0.8204
0.4150 0.7500 0.8300
0.0898 0.7500 0.1796
0.5850 0.2500 0.1700
0.5000 0.5000 0.5000
0.0000 0.0000 0.5000
0.5000 0.0000 0.5000
0.0000 0.5000 0.5000
0.1051 0.2500 0.2102
0.8949 0.7500 0.7898
0.6090 0.7500 0.2180
0.3910 0.2500 0.7820
0.2430 0.7500 0.4860
0.7570 0.2500 0.5140
```

---

No. 6
An optimized crystal structure of RbBe3As. Source: Alexandria via LeMat-Bulk, functional GGA-PBE.

Calculated values
Energy above the most stable polymorph in this dataset = 0 meV/atom
Symmetry = No. 221
Formation energy = 1.047 eV per atom

```
RbBe3As
1.0
4.7454 0.0000 0.0000
0.0000 4.7454 0.0000
0.0000 0.0000 4.7454
Be As Rb
3 1 1
Direct
0.0000 0.5000 0.0000
0.0000 0.0000 0.5000
0.5000 0.0000 0.0000
0.0000 0.0000 0.0000
0.5000 0.5000 0.5000
```

---

No. 7
An optimized crystal structure of TaInBr. Source: Alexandria via LeMat-Bulk, functional GGA-PBE.

Calculated values
Energy above the most stable polymorph in this dataset = 196 meV/atom
Formation energy from raw total energies = 0.23 eV/atom
Symmetry = No. 42

```
TaInBr
1.0
-4.2872 -8.2383 -1.0404
-1.5108 -8.4493 -2.7579
-0.4017 -1.1894 3.0210
In Br Ta
1 1 1
Direct
0.3023 0.3023 0.6977
0.0396 0.0396 0.9604
0.6582 0.6582 0.3418
```

---

No. 8
An optimized crystal structure of PmMnH4. Source: Alexandria via LeMat-Bulk, functional GGA-PBE.

Calculated values
Energy above the most stable polymorph in this dataset = 121 meV/atom
Symmetry = No. 15

```
PmMnH4
1.0
5.0734 0.2510 0.0000
-0.5133 4.1764 0.0000
-2.2800 -2.2137 5.4552
Pm Mn H
2 2 8
Direct
0.3645 0.6145 0.2290
0.6355 0.3855 0.7710
0.0777 0.8277 0.6554
0.9223 0.1723 0.3446
0.9354 0.2582 0.1062
0.6708 0.8480 0.1062
0.2271 0.5152 0.5215
0.7729 0.4848 0.4785
0.2056 0.9937 0.4785
0.3292 0.1520 0.8938
0.7944 0.0063 0.5215
0.0646 0.7418 0.8938
```